# 1
A geometry-optimized Na2HfTeSe2 structure, computed with PBE.

Cell and atoms, written as CIF:
```
data_Na2HfTeSe2
_space_group_name_H-M_alt 'C 1 2/m 1'
_space_group_IT_number 12
_cell_length_a 7.0437
_cell_length_b 12.5426
_cell_length_c 7.5484
_cell_angle_alpha 90.00
_cell_angle_beta 109.33
_cell_angle_gamma 90.00
loop_
_space_group_symop_operation_xyz
'x,y,z'
'-x,-y,-z'
'-x,y,-z'
'x,-y,z'
'x+1/2,y+1/2,z'
'-x+1/2,-y+1/2,-z'
'-x+1/2,y+1/2,-z'
'x+1/2,-y+1/2,z'
loop_
_atom_site_label
_atom_site_type_symbol
_atom_site_fract_x
_atom_site_fract_y
_atom_site_fract_z
_atom_site_occupancy
Na1 Na 0.0000 0.0000 0.0000 1
Na2 Na 0.0000 0.1650 0.5000 1
Na3 Na 0.0000 0.5000 0.5000 1
Hf1 Hf 0.0000 0.3182 0.0000 1
Te1 Te 0.2193 0.5000 0.2266 1
Se1 Se 0.2392 0.3177 0.7820 1
```

Summary:
Total moment in μB/cell: 0.008
Calculated density in g/cm3: 5.383
VASP energy in eV per atom: -4.9457
Crystal system: monoclinic

# 2
A geometry-optimized NdErGe structure, computed with PBE.

Cell and atoms, written as CIF:
```
data_NdErGe
_space_group_name_H-M_alt 'F -4 3 m'
_space_group_IT_number 216
_space_group_name_Hall 'F -4 2 3'
_cell_length_a 7.2193
_cell_length_b 7.2193
_cell_length_c 7.2193
_cell_angle_alpha 90.00
_cell_angle_beta 90.00
_cell_angle_gamma 90.00
loop_
_atom_site_label
_atom_site_type_symbol
_atom_site_fract_x
_atom_site_fract_y
_atom_site_fract_z
_atom_site_occupancy
Nd1 Nd 0.0000 0.0000 0.0000 1
Er1 Er 0.2500 0.2500 0.7500 1
Ge1 Ge 0.2500 0.2500 0.2500 1
```

Summary:
Total moment in μB/cell: 0.634
Calculated density in g/cm3: 6.781
VASP energy in eV per atom: -4.3101
Crystal system: cubic